Computed, not measured: a relaxed LiHf2InO crystal at the PBE-GGA level of DFT.

Properties
ΔE_f (raw) (eV per atom): -1.10
Space group: P4/mmm, No. 123

Cell: 4.4041 4.4041 4.2524 Å, 90.00 90.00 90.00°
Last column: nearest neighbours and their distance in Å.
Element x y z (fractional)
1 Li 0.0000 0.0000 0.0000  2 O 2.13
2 Hf 0.0000 0.5000 0.5000  2 O 2.20
3 Hf 0.5000 0.0000 0.5000  2 O 2.20
4 In 0.5000 0.5000 0.0000  8 Hf 3.06, 4 Li 3.11
5 O 0.0000 0.0000 0.5000  2 Li 2.13, 4 Hf 2.20